1.
ZnCoMo2 | PBE | optimized geometry

The density of states at the Fermi level comes out at 3.7 states/eV/f.u. The formation energy comes out at 0.42 eV/f.u. The total magnetic moment is 0.0 μB per formula unit.

Geometry as CIF:
```
data_ZnCoMo2
_chemical_formula_sum 'Zn1 Co1 Mo2'
_cell_length_a 4.293
_cell_length_b 2.663
_cell_length_c 4.906
_cell_angle_alpha 83.77
_cell_angle_beta 90.00
_cell_angle_gamma 90.00
_symmetry_space_group_name_H-M 'P 1'
_symmetry_Int_Tables_number 1
loop_
_symmetry_equiv_pos_as_xyz
'x,y,z'
loop_
_atom_site_label
_atom_site_type_symbol
_atom_site_fract_x
_atom_site_fract_y
_atom_site_fract_z
_atom_site_occupancy
Co1 Co 0.500 0.638 0.762 1
Mo1 Mo 0.500 0.211 0.271 1
Mo2 Mo 0.000 0.025 0.975 1
Zn1 Zn 0.000 0.626 0.492 1
```

***

2.
ZnCoMo2 | PBE | optimized geometry

The density of states at the Fermi level comes out at 3.6 states/eV/f.u. The formation energy comes out at 0.89 eV/f.u. The total magnetic moment is 1.2 μB per formula unit.

Geometry as CIF:
```
data_ZnCoMo2
_chemical_formula_sum 'Zn1 Co1 Mo2'
_cell_length_a 9.080
_cell_length_b 9.080
_cell_length_c 9.080
_cell_angle_alpha 17.29
_cell_angle_beta 17.29
_cell_angle_gamma 17.29
_symmetry_space_group_name_H-M 'P 1'
_symmetry_Int_Tables_number 1
loop_
_symmetry_equiv_pos_as_xyz
'x,y,z'
loop_
_atom_site_label
_atom_site_type_symbol
_atom_site_fract_x
_atom_site_fract_y
_atom_site_fract_z
_atom_site_occupancy
Mo1 Mo 0.249 0.249 0.249 1
Mo2 Mo 0.007 0.007 0.007 1
Zn1 Zn 0.494 0.494 0.494 1
Co1 Co 0.750 0.750 0.750 1
```

***

3.
ZnCoMo2 | PBE | optimized geometry

The density of states at the Fermi level comes out at 3.0 states/eV/f.u. The formation energy comes out at 0.44 eV/f.u. The total magnetic moment is 0.0 μB per formula unit.

Geometry as CIF:
```
data_ZnCoMo2
_chemical_formula_sum 'Zn1 Co1 Mo2'
_cell_length_a 4.980
_cell_length_b 4.980
_cell_length_c 4.980
_cell_angle_alpha 141.96
_cell_angle_beta 131.95
_cell_angle_gamma 62.87
_symmetry_space_group_name_H-M 'P 1'
_symmetry_Int_Tables_number 1
loop_
_symmetry_equiv_pos_as_xyz
'x,y,z'
loop_
_atom_site_label
_atom_site_type_symbol
_atom_site_fract_x
_atom_site_fract_y
_atom_site_fract_z
_atom_site_occupancy
Mo1 Mo 0.493 0.493 0.000 1
Mo2 Mo 0.007 0.007 0.000 1
Zn1 Zn 0.750 0.250 0.500 1
Co1 Co 0.250 0.750 0.500 1
```

***

4.
ZnCoMo2 | PBE | optimized geometry

The density of states at the Fermi level comes out at 3.8 states/eV/f.u. The formation energy comes out at 0.73 eV/f.u. The total magnetic moment is 1.6 μB per formula unit.

Geometry as CIF:
```
data_ZnCoMo2
_chemical_formula_sum 'Zn1 Co1 Mo2'
_cell_length_a 4.920
_cell_length_b 4.920
_cell_length_c 4.920
_cell_angle_alpha 142.03
_cell_angle_beta 127.84
_cell_angle_gamma 66.31
_symmetry_space_group_name_H-M 'P 1'
_symmetry_Int_Tables_number 1
loop_
_symmetry_equiv_pos_as_xyz
'x,y,z'
loop_
_atom_site_label
_atom_site_type_symbol
_atom_site_fract_x
_atom_site_fract_y
_atom_site_fract_z
_atom_site_occupancy
Mo1 Mo 0.005 0.005 0.000 1
Mo2 Mo 0.760 0.260 0.500 1
Co1 Co 0.247 0.747 0.500 1
Zn1 Zn 0.488 0.488 0.000 1
```

***

5.
ZnCoMo2 | PBE | optimized geometry

The density of states at the Fermi level comes out at 3.8 states/eV/f.u. The formation energy comes out at 0.91 eV/f.u. The total magnetic moment is 1.2 μB per formula unit.

Geometry as CIF:
```
data_ZnCoMo2
_chemical_formula_sum 'Zn1 Co1 Mo2'
_cell_length_a 3.260
_cell_length_b 3.260
_cell_length_c 5.384
_cell_angle_alpha 90.00
_cell_angle_beta 90.00
_cell_angle_gamma 90.00
_symmetry_space_group_name_H-M 'P 1'
_symmetry_Int_Tables_number 1
loop_
_symmetry_equiv_pos_as_xyz
'x,y,z'
loop_
_atom_site_label
_atom_site_type_symbol
_atom_site_fract_x
_atom_site_fract_y
_atom_site_fract_z
_atom_site_occupancy
Zn1 Zn 0.500 0.500 0.250 1
Mo1 Mo 0.000 0.000 0.973 1
Mo2 Mo 0.000 0.000 0.527 1
Co1 Co 0.500 0.500 0.750 1
```

***

6.
ZnCoMo2 | PBE | optimized geometry

The density of states at the Fermi level comes out at 4.0 states/eV/f.u. The formation energy comes out at 0.60 eV/f.u. The total magnetic moment is 1.3 μB per formula unit.

Geometry as CIF:
```
data_ZnCoMo2
_chemical_formula_sum 'Zn1 Co1 Mo2'
_cell_length_a 3.689
_cell_length_b 3.774
_cell_length_c 4.033
_cell_angle_alpha 90.00
_cell_angle_beta 90.00
_cell_angle_gamma 90.00
_symmetry_space_group_name_H-M 'P 1'
_symmetry_Int_Tables_number 1
loop_
_symmetry_equiv_pos_as_xyz
'x,y,z'
loop_
_atom_site_label
_atom_site_type_symbol
_atom_site_fract_x
_atom_site_fract_y
_atom_site_fract_z
_atom_site_occupancy
Mo1 Mo 0.500 0.500 0.000 1
Mo2 Mo 0.000 0.000 0.000 1
Co1 Co 0.000 0.500 0.500 1
Zn1 Zn 0.500 0.000 0.500 1
```

***

7.
ZnCoMo2 | PBE | optimized geometry

The density of states at the Fermi level comes out at 3.1 states/eV/f.u. The formation energy comes out at 0.64 eV/f.u. The total magnetic moment is 0.0 μB per formula unit.

Geometry as CIF:
```
data_ZnCoMo2
_chemical_formula_sum 'Zn1 Co1 Mo2'
_cell_length_a 5.848
_cell_length_b 4.809
_cell_length_c 2.644
_cell_angle_alpha 90.00
_cell_angle_beta 63.11
_cell_angle_gamma 118.85
_symmetry_space_group_name_H-M 'P 1'
_symmetry_Int_Tables_number 1
loop_
_symmetry_equiv_pos_as_xyz
'x,y,z'
loop_
_atom_site_label
_atom_site_type_symbol
_atom_site_fract_x
_atom_site_fract_y
_atom_site_fract_z
_atom_site_occupancy
Zn1 Zn 0.000 0.500 0.500 1
Mo1 Mo 0.500 0.000 0.500 1
Mo2 Mo 0.000 0.000 0.000 1
Co1 Co 0.500 0.500 0.000 1
```

***

8.
ZnCoMo2 | PBE | optimized geometry

The density of states at the Fermi level comes out at 3.3 states/eV/f.u. The formation energy comes out at 2.18 eV/f.u. The total magnetic moment is 0.0 μB per formula unit.

Geometry as CIF:
```
data_ZnCoMo2
_chemical_formula_sum 'Zn2 Co2 Mo4'
_cell_length_a 6.917
_cell_length_b 6.917
_cell_length_c 5.505
_cell_angle_alpha 51.08
_cell_angle_beta 51.08
_cell_angle_gamma 90.00
_symmetry_space_group_name_H-M 'P 1'
_symmetry_Int_Tables_number 1
loop_
_symmetry_equiv_pos_as_xyz
'x,y,z'
loop_
_atom_site_label
_atom_site_type_symbol
_atom_site_fract_x
_atom_site_fract_y
_atom_site_fract_z
_atom_site_occupancy
Mo1 Mo 0.375 0.410 0.750 1
Mo2 Mo 0.875 0.840 0.750 1
Mo3 Mo 0.590 0.125 0.250 1
Mo4 Mo 0.160 0.625 0.250 1
Zn1 Zn 0.000 0.000 0.000 1
Zn2 Zn 0.750 0.250 0.500 1
Co1 Co 0.250 0.750 0.500 1
Co2 Co 0.500 0.500 0.000 1
```

***

9.
ZnCo2Mo2 | PBE | optimized geometry

The density of states at the Fermi level comes out at 4.4 states/eV/f.u. The formation energy comes out at 1.31 eV/f.u. The total magnetic moment is 0.0 μB per formula unit.

Geometry as CIF:
```
data_ZnCo2Mo2
_chemical_formula_sum 'Zn2 Co4 Mo4'
_cell_length_a 7.354
_cell_length_b 7.354
_cell_length_c 2.621
_cell_angle_alpha 90.00
_cell_angle_beta 90.00
_cell_angle_gamma 90.00
_symmetry_space_group_name_H-M 'P 1'
_symmetry_Int_Tables_number 1
loop_
_symmetry_equiv_pos_as_xyz
'x,y,z'
loop_
_atom_site_label
_atom_site_type_symbol
_atom_site_fract_x
_atom_site_fract_y
_atom_site_fract_z
_atom_site_occupancy
Co1 Co 0.169 0.669 0.500 1
Co2 Co 0.831 0.331 0.500 1
Co3 Co 0.669 0.831 0.500 1
Co4 Co 0.331 0.169 0.500 1
Mo1 Mo 0.874 0.626 0.000 1
Mo2 Mo 0.126 0.374 0.000 1
Mo3 Mo 0.626 0.126 0.000 1
Mo4 Mo 0.374 0.874 0.000 1
Zn1 Zn 0.500 0.500 0.000 1
Zn2 Zn 0.000 0.000 0.000 1
```

***

10.
ZnCo3Mo | PBE | optimized geometry

The density of states at the Fermi level comes out at 4.9 states/eV/f.u. The formation energy comes out at 6.99 eV/f.u. The total magnetic moment is 0.0 μB per formula unit.

Geometry as CIF:
```
data_ZnCo3Mo
_chemical_formula_sum 'Zn1 Co3 Mo1'
_cell_length_a 4.393
_cell_length_b 4.393
_cell_length_c 4.393
_cell_angle_alpha 90.00
_cell_angle_beta 90.00
_cell_angle_gamma 90.00
_symmetry_space_group_name_H-M 'P 1'
_symmetry_Int_Tables_number 1
loop_
_symmetry_equiv_pos_as_xyz
'x,y,z'
loop_
_atom_site_label
_atom_site_type_symbol
_atom_site_fract_x
_atom_site_fract_y
_atom_site_fract_z
_atom_site_occupancy
Co1 Co 0.000 0.500 0.000 1
Co2 Co 0.500 0.000 0.000 1
Co3 Co 0.000 0.000 0.500 1
Mo1 Mo 0.000 0.000 0.000 1
Zn1 Zn 0.500 0.500 0.500 1
```

***

11.
Zn3CoMo | PBE | optimized geometry

The density of states at the Fermi level comes out at 5.0 states/eV/f.u. The formation energy comes out at 7.57 eV/f.u. The total magnetic moment is 3.9 μB per formula unit.

Geometry as CIF:
```
data_Zn3CoMo
_chemical_formula_sum 'Zn3 Co1 Mo1'
_cell_length_a 4.881
_cell_length_b 4.881
_cell_length_c 4.881
_cell_angle_alpha 90.00
_cell_angle_beta 90.00
_cell_angle_gamma 90.00
_symmetry_space_group_name_H-M 'P 1'
_symmetry_Int_Tables_number 1
loop_
_symmetry_equiv_pos_as_xyz
'x,y,z'
loop_
_atom_site_label
_atom_site_type_symbol
_atom_site_fract_x
_atom_site_fract_y
_atom_site_fract_z
_atom_site_occupancy
Zn1 Zn 0.000 0.500 0.000 1
Zn2 Zn 0.500 0.000 0.000 1
Zn3 Zn 0.000 0.000 0.500 1
Co1 Co 0.500 0.500 0.500 1
Mo1 Mo 0.000 0.000 0.000 1
```

***

12.
ZnCoMo2 | PBE | optimized geometry

The density of states at the Fermi level comes out at 3.7 states/eV/f.u. The formation energy comes out at 0.36 eV/f.u. The total magnetic moment is 0.0 μB per formula unit.

Geometry as CIF:
```
data_ZnCoMo2
_chemical_formula_sum 'Zn1 Co1 Mo2'
_cell_length_a 2.674
_cell_length_b 2.674
_cell_length_c 7.812
_cell_angle_alpha 90.00
_cell_angle_beta 90.00
_cell_angle_gamma 89.98
_symmetry_space_group_name_H-M 'P 1'
_symmetry_Int_Tables_number 1
loop_
_symmetry_equiv_pos_as_xyz
'x,y,z'
loop_
_atom_site_label
_atom_site_type_symbol
_atom_site_fract_x
_atom_site_fract_y
_atom_site_fract_z
_atom_site_occupancy
Co1 Co 0.500 0.500 0.750 1
Mo1 Mo 0.000 0.000 0.983 1
Mo2 Mo 0.000 0.000 0.517 1
Zn1 Zn 0.500 0.500 0.250 1
```

***

13.
ZnCoMo | PBE | optimized geometry

The density of states at the Fermi level comes out at 4.0 states/eV/f.u. The formation energy comes out at 2.35 eV/f.u. The total magnetic moment is 0.9 μB per formula unit.

Geometry as CIF:
```
data_ZnCoMo
_chemical_formula_sum 'Zn1 Co1 Mo1'
_cell_length_a 4.093
_cell_length_b 4.093
_cell_length_c 4.093
_cell_angle_alpha 60.00
_cell_angle_beta 60.00
_cell_angle_gamma 60.00
_symmetry_space_group_name_H-M 'P 1'
_symmetry_Int_Tables_number 1
loop_
_symmetry_equiv_pos_as_xyz
'x,y,z'
loop_
_atom_site_label
_atom_site_type_symbol
_atom_site_fract_x
_atom_site_fract_y
_atom_site_fract_z
_atom_site_occupancy
Mo1 Mo 0.750 0.750 0.750 1
Co1 Co 0.500 0.500 0.500 1
Zn1 Zn 0.000 0.000 0.000 1
```